# NpGa2Au6 PBE relaxed
data_NpGa2Au6
_symmetry_space_group_name_H-M 'P -1'
_symmetry_Int_Tables_number 2
_cell_length_a 5.188
_cell_length_b 5.743
_cell_length_c 6.927
_cell_angle_alpha 102.56
_cell_angle_beta 96.02
_cell_angle_gamma 116.17
loop_
_symmetry_equiv_pos_as_xyz
'x,y,z'
'-x,-y,-z'
loop_
_atom_site_label
_atom_site_type_symbol
_atom_site_fract_x
_atom_site_fract_y
_atom_site_fract_z
Np1 Np 0.000 0.000 0.000
Ga1 Ga 0.175 0.598 0.321
Au1 Au 0.221 0.265 0.503
Au2 Au 0.308 0.599 0.955
Au3 Au 0.403 0.933 0.698
# ρ (kg/m3): 14703
# E above lowest polymorph (meV per atom): 0
# Spin magnetization (μB per atom): 0.461